Material: SmAgSnBr6
Method: DFT, PBE
State: optimized geometry

- N(E_F) (states/eV per atom) = 0.00
- V (Å³ per cell) = 609.0
- DFT total energy (eV for the cell shown) = -63.64
- space-group type = No. 163
- ΔE_f (raw) (eV per atom) = -1.134

a = 7.2430 Å, b = 7.2430 Å, c = 13.4038 Å
α = 90.00°, β = 90.00°, γ = 120.00°
Positions (direct):
Sm 0.6667 0.3333 0.2500
Sm 0.3333 0.6667 0.7500
Ag 0.3333 0.6667 0.2500
Ag 0.6667 0.3333 0.7500
Sn 0.0000 0.0000 0.0000
Sn 0.0000 0.0000 0.5000
Br 0.6569 0.6545 0.1268
Br 0.9976 0.3431 0.1268
Br 0.3431 0.9976 0.6268
Br 0.0024 0.6569 0.8732
Br 0.3455 0.3431 0.3732
Br 0.9976 0.6545 0.3732
Br 0.6545 0.9976 0.8732
Br 0.6569 0.0024 0.3732
Br 0.0024 0.3455 0.6268
Br 0.3455 0.0024 0.1268
Br 0.6545 0.6569 0.6268
Br 0.3431 0.3455 0.8732

=====

Material: SmTlAgBr6
Method: DFT, PBE
State: optimized geometry

- N(E_F) (states/eV per atom) = 0.70
- V (Å³ per cell) = 640.3
- DFT total energy (eV for the cell shown) = -59.22
- space-group type = No. 163
- ΔE_f (raw) (eV per atom) = -1.071

a = 7.2639 Å, b = 7.2639 Å, c = 14.0124 Å
α = 90.00°, β = 90.00°, γ = 120.00°
Positions (direct):
Sm 0.3333 0.6667 0.2500
Sm 0.6667 0.3333 0.7500
Tl 0.0000 0.0000 0.0000
Tl 0.0000 0.0000 0.5000
Ag 0.6667 0.3333 0.2500
Ag 0.3333 0.6667 0.7500
Br 0.6450 0.6374 0.1338
Br 0.9924 0.3550 0.1338
Br 0.3550 0.9924 0.6338
Br 0.0076 0.6450 0.8662
Br 0.3626 0.3550 0.3662
Br 0.9924 0.6374 0.3662
Br 0.6374 0.9924 0.8662
Br 0.6450 0.0076 0.3662
Br 0.0076 0.3626 0.6338
Br 0.3626 0.0076 0.1338
Br 0.6374 0.6450 0.6338
Br 0.3550 0.3626 0.8662

=====

Material: SmTlAg2Br6
Method: DFT, PBE
State: optimized geometry

- N(E_F) (states/eV per atom) = 0.00
- V (Å³ per cell) = 331.4
- DFT total energy (eV for the cell shown) = -33.15
- space-group type = No. 146
- ΔE_f (raw) (eV per atom) = -1.032

a = 7.4772 Å, b = 7.4759 Å, c = 8.0970 Å
α = 62.50°, β = 62.47°, γ = 59.96°
Positions (direct):
Sm 0.3259 0.3257 0.0225
Tl 0.8073 0.8075 0.5774
Ag 0.5149 0.5148 0.4558
Ag 0.9987 0.9992 0.0034
Br 0.5892 0.2585 0.2332
Br 0.2588 0.9187 0.2333
Br 0.9189 0.5890 0.2337
Br 0.3494 0.7392 0.7522
Br 0.7393 0.1592 0.7517
Br 0.1593 0.3498 0.7520

=====

Material: SmTl2AgBr6
Method: DFT, PBE
State: optimized geometry

- N(E_F) (states/eV per atom) = 0.00
- V (Å³ per cell) = 684.6
- DFT total energy (eV for the cell shown) = -67.92
- space-group type = No. 14
- ΔE_f (raw) (eV per atom) = -1.162

a = 7.6962 Å, b = 8.1536 Å, c = 10.9103 Å
α = 90.00°, β = 89.16°, γ = 90.00°
Positions (direct):
Sm 0.5000 0.0000 0.5000
Sm 0.0000 0.5000 0.0000
Tl 0.0279 0.9194 0.2542
Tl 0.5279 0.5806 0.7542
Tl 0.9721 0.0806 0.7458
Tl 0.4721 0.4194 0.2458
Ag 0.5000 0.0000 0.0000
Ag 0.0000 0.5000 0.5000
Br 0.3034 0.6920 0.0501
Br 0.8034 0.8080 0.5501
Br 0.6966 0.3080 0.9499
Br 0.1966 0.1920 0.4499
Br 0.3117 0.7038 0.4493
Br 0.8117 0.7962 0.9493
Br 0.6883 0.2962 0.5507
Br 0.1883 0.2038 0.0507
Br 0.8942 0.5235 0.2531
Br 0.3942 0.9765 0.7531
Br 0.1058 0.4765 0.7469
Br 0.6058 0.0235 0.2469

=====

Material: Ag3SnBr6
Method: DFT, PBE
State: optimized geometry

- N(E_F) (states/eV per atom) = 0.91
- V (Å³ per cell) = 562.9
- DFT total energy (eV for the cell shown) = -52.97
- space-group type = No. 11
- ΔE_f (raw) (eV per atom) = -0.389

a = 4.3977 Å, b = 11.8351 Å, c = 11.4530 Å
α = 109.20°, β = 90.00°, γ = 90.00°
Positions (direct):
Ag 0.7500 0.4242 0.8356
Ag 0.2500 0.5758 0.1644
Ag 0.7500 0.6514 0.4956
Ag 0.2500 0.3486 0.5044
Ag 0.7500 0.1697 0.0868
Ag 0.2500 0.8303 0.9132
Sn 0.7500 0.0316 0.6986
Sn 0.2500 0.9684 0.3014
Br 0.7500 0.4780 0.6240
Br 0.2500 0.5220 0.3760
Br 0.7500 0.9309 0.0926
Br 0.2500 0.0691 0.9074
Br 0.7500 0.3898 0.0559
Br 0.2500 0.6102 0.9441
Br 0.7500 0.7307 0.2827
Br 0.2500 0.2693 0.7173
Br 0.7500 0.1019 0.4540
Br 0.2500 0.8981 0.5460
Br 0.7500 0.7993 0.7411
Br 0.2500 0.2007 0.2589

=====

Material: AgSn2Br
Method: DFT, PBE
State: optimized geometry

- N(E_F) (states/eV per atom) = 0.47
- V (Å³ per cell) = 100.5
- DFT total energy (eV for the cell shown) = -11.95
- space-group type = No. 225
- ΔE_f (raw) (eV per atom) = 0.144

a = 5.2195 Å, b = 5.2195 Å, c = 5.2195 Å
α = 60.00°, β = 60.00°, γ = 60.00°
Positions (direct):
Br 0.0000 0.0000 0.0000
Sn 0.2500 0.2500 0.2500
Sn 0.7500 0.7500 0.7500
Ag 0.5000 0.5000 0.5000

=====

Material: Ag3SnBr6
Method: DFT, PBE
State: optimized geometry

- N(E_F) (states/eV per atom) = 0.19
- V (Å³ per cell) = 362.0
- DFT total energy (eV for the cell shown) = -26.76
- space-group type = No. 2
- ΔE_f (raw) (eV per atom) = -0.417

a = 7.9870 Å, b = 8.0113 Å, c = 8.0136 Å
α = 60.08°, β = 59.85°, γ = 59.84°
Positions (direct):
Ag 0.5000 0.5000 0.0000
Ag 0.5000 0.0000 0.5000
Ag 0.5000 0.5000 0.5000
Sn 0.0000 0.0000 0.0000
Br 0.7301 0.7698 0.2674
Br 0.2699 0.2302 0.7326
Br 0.7328 0.2700 0.7671
Br 0.2672 0.7300 0.2329
Br 0.2186 0.7511 0.7511
Br 0.7814 0.2489 0.2489

=====

Material: AgSnBr4
Method: DFT, PBE
State: optimized geometry

- N(E_F) (states/eV per atom) = 0.88
- V (Å³ per cell) = 403.5
- DFT total energy (eV for the cell shown) = -33.13
- space-group type = No. 12
- ΔE_f (raw) (eV per atom) = -0.503

a = 4.1394 Å, b = 9.2109 Å, c = 11.0683 Å
α = 84.86°, β = 79.22°, γ = 77.01°
Positions (direct):
Ag 0.7504 0.7500 0.2500
Ag 0.2496 0.2500 0.7500
Sn 0.5000 0.5000 0.0000
Sn 0.0000 0.0000 0.5000
Br 0.6814 0.2066 0.9311
Br 0.8191 0.2934 0.5689
Br 0.4470 0.9303 0.6765
Br 0.0538 0.5697 0.8235
Br 0.5530 0.0697 0.3235
Br 0.3186 0.7934 0.0689
Br 0.1809 0.7066 0.4311
Br 0.9462 0.4303 0.1765